# CsK2Tl2 | Alexandria | GGA-PBEsol | optimized geometry
# - Energy of formation from the pure elements: 0.0 eV per formula unit
# - Calculated total energy: -16.9 eV per cell
data_CsK2Tl2
_chemical_formula_sum 'Cs2 K4 Tl4'
_space_group_name_H-M_alt 'P 4/m b m'
_space_group_IT_number 127
_space_group_name_Hall '-P 4 2ab'
_cell_length_a 9.7165
_cell_length_b 9.7165
_cell_length_c 4.8014
_cell_angle_alpha 90.00
_cell_angle_beta 90.00
_cell_angle_gamma 90.00
loop_
_atom_site_label
_atom_site_type_symbol
_atom_site_fract_x
_atom_site_fract_y
_atom_site_fract_z
Cs1 Cs 0.0000 0.0000 0.0000
K1 K 0.1725 0.3275 0.5000
Tl1 Tl 0.1101 0.6101 0.0000

=====

# Sr4CoMo | Alexandria | GGA-PBEsol | optimized geometry
# - Energy of formation from the pure elements: 9.8 eV per formula unit
# - Calculated total energy: -68.2 eV per cell
data_Sr4CoMo
_chemical_formula_sum 'Sr16 Co4 Mo4'
_space_group_name_H-M_alt 'F -4 3 m'
_space_group_IT_number 216
_space_group_name_Hall 'F -4 2 3'
_cell_length_a 9.2781
_cell_length_b 9.2781
_cell_length_c 9.2781
_cell_angle_alpha 90.00
_cell_angle_beta 90.00
_cell_angle_gamma 90.00
loop_
_atom_site_label
_atom_site_type_symbol
_atom_site_fract_x
_atom_site_fract_y
_atom_site_fract_z
Sr1 Sr 0.1251 0.1251 0.1251
Co1 Co 0.0000 0.0000 0.5000
Mo1 Mo 0.2500 0.2500 0.7500

=====

# Ba2AlZn | Alexandria | GGA-PBEsol | optimized geometry
# - Energy of formation from the pure elements: -0.3 eV per formula unit
# - Calculated total energy: -10.3 eV per cell
data_Ba2AlZn
_chemical_formula_sum 'Ba2 Al1 Zn1'
_space_group_name_H-M_alt 'P 4/m m m'
_space_group_IT_number 123
_space_group_name_Hall '-P 4 2'
_cell_length_a 4.0220
_cell_length_b 4.0220
_cell_length_c 8.1178
_cell_angle_alpha 90.00
_cell_angle_beta 90.00
_cell_angle_gamma 90.00
loop_
_atom_site_label
_atom_site_type_symbol
_atom_site_fract_x
_atom_site_fract_y
_atom_site_fract_z
Ba1 Ba 0.0000 0.0000 0.2468
Al1 Al 0.5000 0.5000 0.5000
Zn1 Zn 0.5000 0.5000 0.0000

=====

# CuNi2Ir | Alexandria | GGA-PBEsol | optimized geometry
# - Energy of formation from the pure elements: 0.4 eV per formula unit
# - Calculated total energy: -26.0 eV per cell
data_CuNi2Ir
_chemical_formula_sum 'Cu1 Ni2 Ir1'
_space_group_name_H-M_alt 'P 4 m m'
_space_group_IT_number 99
_space_group_name_Hall 'P 4 -2'
_cell_length_a 2.5977
_cell_length_b 2.5977
_cell_length_c 6.9159
_cell_angle_alpha 90.00
_cell_angle_beta 90.00
_cell_angle_gamma 90.00
loop_
_atom_site_label
_atom_site_type_symbol
_atom_site_fract_x
_atom_site_fract_y
_atom_site_fract_z
Cu1 Cu 0.0000 0.0000 0.0000
Ni1 Ni 0.0000 0.0000 0.5265
Ni2 Ni 0.5000 0.5000 0.7589
Ir1 Ir 0.5000 0.5000 0.2733